Computed, not measured: an optimized crystal structure of CuSn2H at the PBE-GGA level of DFT.

Cell and atoms, written as extended XYZ:
```
4
Lattice="0.000 3.237 3.237 3.237 0.000 3.237 3.237 3.237 0.000" Properties=species:S:1:pos:R:3 pbc="T T T"
Cu 0.000 0.000 0.000
Sn 1.619 1.619 1.619
Sn 4.856 4.856 4.856
H 3.237 3.237 3.237
```

Symmetry   Fm-3m (225)
Calculated total energy   -0.1294 hartree per atom
Offset from the most stable computed form   0.00 eV/f.u.